--- i ---
# FeRe2Tc | Alexandria | PBE | relaxed
# total magnetic moment: 1.75 μB/f.u.
data_FeRe2Tc
_symmetry_space_group_name_H-M 'P m m 2'
_symmetry_Int_Tables_number 25
_cell_length_a 2.7196
_cell_length_b 3.8364
_cell_length_c 5.3960
_cell_angle_alpha 90.00
_cell_angle_beta 90.00
_cell_angle_gamma 90.00
loop_
_symmetry_equiv_pos_as_xyz
'x,y,z'
'-x,-y,z'
'-x,y,z'
'x,-y,z'
loop_
_atom_site_label
_atom_site_type_symbol
_atom_site_fract_x
_atom_site_fract_y
_atom_site_fract_z
Fe1 Fe 0.0000 0.0000 0.0000
Re1 Re 0.0000 0.0000 0.4980
Re2 Re 0.5000 0.5000 0.7613
Tc1 Tc 0.5000 0.5000 0.2402

---

--- ii ---
# FeRe2Tc | Alexandria | PBE | relaxed
# total magnetic moment: 3.02 μB/f.u.
data_FeRe2Tc
_symmetry_space_group_name_H-M 'F -4 3 m'
_symmetry_Int_Tables_number 216
_symmetry_space_group_name_Hall 'F -4 2 3'
_cell_length_a 6.1158
_cell_length_b 6.1158
_cell_length_c 6.1158
_cell_angle_alpha 90.00
_cell_angle_beta 90.00
_cell_angle_gamma 90.00
loop_
_atom_site_label
_atom_site_type_symbol
_atom_site_fract_x
_atom_site_fract_y
_atom_site_fract_z
Fe1 Fe 0.0000 0.0000 0.0000
Re1 Re 0.0000 0.0000 0.5000
Re2 Re 0.2500 0.2500 0.2500
Tc1 Tc 0.2500 0.2500 0.7500

---

--- iii ---
# FeRe2Tc | Alexandria | PBE | relaxed
# total magnetic moment: 1.64 μB/f.u.
data_FeRe2Tc
_symmetry_space_group_name_H-M 'R 3 m'
_symmetry_Int_Tables_number 160
_symmetry_space_group_name_Hall 'R 3 -2"'
_cell_length_a 2.7277
_cell_length_b 2.7277
_cell_length_c 26.3319
_cell_angle_alpha 90.00
_cell_angle_beta 90.00
_cell_angle_gamma 120.00
loop_
_atom_site_label
_atom_site_type_symbol
_atom_site_fract_x
_atom_site_fract_y
_atom_site_fract_z
Fe1 Fe 0.0000 0.0000 0.0000
Re1 Re 0.0000 0.0000 0.2530
Re2 Re 0.0000 0.0000 0.4993
Tc1 Tc 0.0000 0.0000 0.7469

---

--- iv ---
# FeRe2Tc | Alexandria | PBE | relaxed
# total magnetic moment: 1.26 μB/f.u.
data_FeRe2Tc
_symmetry_space_group_name_H-M 'I -4 m 2'
_symmetry_Int_Tables_number 119
_symmetry_space_group_name_Hall 'I -4 -2'
_cell_length_a 3.8396
_cell_length_b 3.8396
_cell_length_c 7.5925
_cell_angle_alpha 90.00
_cell_angle_beta 90.00
_cell_angle_gamma 90.00
loop_
_atom_site_label
_atom_site_type_symbol
_atom_site_fract_x
_atom_site_fract_y
_atom_site_fract_z
Fe1 Fe 0.0000 0.0000 0.0000
Re1 Re 0.0000 0.0000 0.5000
Re2 Re 0.0000 0.5000 0.7500
Tc1 Tc 0.0000 0.5000 0.2500

---

Ordering by calculated energy gives the sequence iv, i, iii, ii, with the first entry being the most stable.